An optimized crystal structure of PmInGe4, computed with GGA-PBE.

Results
Space-group type   F-43m (216)
Energy of formation   -0.1899 eV/atom

Cell: 5.6760 5.6760 5.6760 Å, 60.00 60.00 60.00°
Closest atoms and distances in Å follow each position.
Atoms (fractional coordinates):
Ge 0.6250 0.6250 0.1251  6 Ge 2.84
Ge 0.6250 0.1251 0.6250  6 Ge 2.84
Ge 0.6250 0.6250 0.6250  6 Ge 2.84
Ge 0.1251 0.6250 0.6250  6 Ge 2.84
In 0.0000 0.0000 0.0000  12 Ge 3.33, 4 Pm 3.48
Pm 0.2500 0.2500 0.2500  12 Ge 3.33, 4 In 3.48

***

An optimized crystal structure of Pm8In3Ge2, computed with GGA-PBE.

Results
Space-group type   Cmmm (65)
Energy of formation   -0.3718 eV/atom

Cell: 5.5229 8.9465 9.0972 Å, 119.46 90.00 90.00°
Closest atoms and distances in Å follow each position.
Atoms (fractional coordinates):
Pm 0.0002 0.6924 0.3849  2 Ge 3.04, 1 Pm 3.16
Pm 0.9998 0.3076 0.6151  2 Ge 3.04, 1 Pm 3.16
Pm 0.0000 0.1078 0.2157  2 Pm 3.16-3.42, 4 In 3.25-3.39, 2 Ge 3.35
Pm 0.0000 0.8922 0.7843  2 Pm 3.16-3.42, 4 In 3.25-3.39, 2 Ge 3.35
Pm 0.4999 0.5893 0.7472  2 Ge 3.01, 1 In 3.24
Pm 0.4999 0.1579 0.7472  2 Ge 3.00-3.01, 1 In 3.24
Pm 0.5001 0.8421 0.2528  2 Ge 3.00-3.01, 1 In 3.24
Pm 0.5001 0.4107 0.2528  2 Ge 3.01, 1 In 3.24
In 0.5000 0.0000 0.0000  8 Pm 3.24-3.25, 2 Ge 3.60
In 0.0000 0.3269 0.0000  1 In 3.10, 8 Pm 3.39-3.43
In 0.0000 0.6731 0.0000  1 In 3.10, 8 Pm 3.39-3.43
Ge 0.4998 0.2274 0.4548  8 Pm 3.00-3.35
Ge 0.5002 0.7726 0.5452  8 Pm 3.00-3.35

***

An optimized crystal structure of PmInGe, computed with GGA-PBE.

Results
Space-group type   P4/nmm (129)
Energy of formation   -0.5069 eV/atom
E above lowest polymorph   0.0739 eV per atom

Cell: 4.2766 4.2766 8.2162 Å, 90.00 90.00 90.00°
Closest atoms and distances in Å follow each position.
Atoms (fractional coordinates):
In 0.0000 0.0000 0.0000  4 In 3.02, 4 Ge 3.28
In 0.5000 0.5000 0.0000  4 In 3.02, 4 Ge 3.28
Pm 0.0000 0.5000 0.3302  5 Ge 3.01-3.03
Pm 0.5000 0.0000 0.6698  5 Ge 3.01-3.03
Ge 0.0000 0.5000 0.6966  5 Pm 3.01-3.03, 4 In 3.28
Ge 0.5000 0.0000 0.3034  5 Pm 3.01-3.03, 4 In 3.28

***

An optimized crystal structure of Pm6In6Ge, computed with GGA-PBE.

Results
Space-group type   P6/mmm (191)
Energy of formation   -0.3144 eV/atom

Cell: 6.4837 6.4837 10.7520 Å, 90.00 90.00 120.01°
Closest atoms and distances in Å follow each position.
Atoms (fractional coordinates):
Pm 0.0000 0.0000 0.7255  1 Ge 2.95, 6 In 3.25
Pm 0.0000 0.0000 0.2745  1 Ge 2.95, 6 In 3.25
Pm 0.3334 0.6666 0.0000  6 In 3.30
Pm 0.6666 0.3334 0.0000  6 In 3.30
Pm 0.3334 0.6666 0.5000  6 In 3.25
Pm 0.6666 0.3334 0.5000  6 In 3.25
In 0.0000 0.5000 0.7467  4 In 3.24, 6 Pm 3.25-3.30
In 0.5000 0.0000 0.7467  4 In 3.24, 6 Pm 3.25-3.30
In 0.5000 0.5000 0.7467  4 In 3.24, 6 Pm 3.25-3.30
In 0.5000 0.0000 0.2533  4 In 3.24, 6 Pm 3.25-3.30
In 0.0000 0.5000 0.2533  4 In 3.24, 6 Pm 3.25-3.30
In 0.5000 0.5000 0.2533  4 In 3.24, 6 Pm 3.25-3.30
Ge 0.0000 0.0000 0.0000  2 Pm 2.95

***

An optimized crystal structure of Pm7InGe2, computed with GGA-PBE.

Results
Space-group type   P3m1 (156)
Energy of formation   -0.3201 eV/atom

Cell: 5.2500 5.2500 12.6597 Å, 90.00 90.00 120.00°
Closest atoms and distances in Å follow each position.
Atoms (fractional coordinates):
Pm 0.6667 0.3333 0.5855  1 Ge 2.92
Pm 0.6667 0.3333 0.8462  8 Pm 3.30-3.52, 3 Ge 3.58, 3 In 3.65
Pm 0.0000 0.0000 0.7186  3 Ge 3.04
Pm 0.0000 0.0000 0.2859  3 Ge 3.16, 1 In 3.53
Pm 0.3333 0.6667 0.4405  4 Ge 3.22-3.23, 3 Pm 3.54
Pm 0.3333 0.6667 0.9579  3 In 3.09, 1 Ge 3.32, 3 Pm 3.34
Pm 0.6667 0.3333 0.1245  1 Ge 2.92
In 0.0000 0.0000 0.0068  6 Pm 3.09-3.38
Ge 0.3333 0.6667 0.6957  8 Pm 3.04-3.34
Ge 0.6667 0.3333 0.3551  8 Pm 2.92-3.22

***

An optimized crystal structure of Pm6InGe2, computed with GGA-PBE.

Results
Space-group type   Immm (71)
Energy of formation   -0.5374 eV/atom
E above lowest polymorph   0.0000 eV per atom

Cell: 8.8215 8.8215 8.8215 Å, 106.45 110.05 111.97°
Closest atoms and distances in Å follow each position.
Atoms (fractional coordinates):
Pm 0.5431 0.7250 0.8181  3 Ge 3.15-3.25, 1 In 3.28
Pm 0.4569 0.2750 0.1819  3 Ge 3.15-3.25, 1 In 3.28
Pm 0.0932 0.2750 0.8181  3 Ge 3.15-3.25, 1 In 3.28
Pm 0.9068 0.7250 0.1819  3 Ge 3.15-3.25, 1 In 3.28
Pm 0.7977 0.7534 0.5512  2 Ge 3.05-3.33, 2 In 3.31-3.37
Pm 0.2023 0.2466 0.4488  2 Ge 3.05-3.33, 2 In 3.31-3.37
Pm 0.2023 0.7534 0.9557  2 Ge 3.05-3.33, 2 In 3.31-3.37
Pm 0.7977 0.2466 0.0443  2 Ge 3.05-3.33, 2 In 3.31-3.37
Pm 0.7054 0.3808 0.6754  3 Ge 2.97-3.09
Pm 0.2946 0.6192 0.3246  3 Ge 2.97-3.09
Pm 0.2946 0.9699 0.6754  3 Ge 2.97-3.09
Pm 0.7054 0.0301 0.3246  3 Ge 2.97-3.09
In 0.0000 0.5000 0.5000  8 Pm 3.37-3.45
In 0.0000 0.0000 0.0000  8 Pm 3.28-3.31, 2 Ge 3.63
Ge 0.5000 0.3806 0.8806  1 Ge 2.52
Ge 0.5000 0.6194 0.1194  1 Ge 2.52
Ge 0.6411 0.0000 0.6411  1 Ge 2.85, 6 Pm 3.05-3.09
Ge 0.3589 0.0000 0.3589  1 Ge 2.85, 6 Pm 3.05-3.09

***

An optimized crystal structure of Pm5In4Ge, computed with GGA-PBE.

Results
Space-group type   P4/mmm (123)
Energy of formation   -0.5212 eV/atom

Cell: 3.8751 3.8751 18.4077 Å, 90.00 90.00 90.00°
Closest atoms and distances in Å follow each position.
Atoms (fractional coordinates):
Pm 0.5000 0.5000 0.0852  1 Pm 3.14, 4 Ge 3.16, 4 In 3.36
Pm 0.5000 0.5000 0.2927  8 In 3.32-3.34
Pm 0.5000 0.5000 0.5000  8 In 3.34
Pm 0.5000 0.5000 0.7073  8 In 3.32-3.34
Pm 0.5000 0.5000 0.9148  1 Pm 3.14, 4 Ge 3.16, 4 In 3.36
In 0.0000 0.0000 0.1906  8 Pm 3.32-3.36, 1 Ge 3.51
In 0.0000 0.0000 0.3964  8 Pm 3.34
In 0.0000 0.0000 0.6036  8 Pm 3.34
In 0.0000 0.0000 0.8094  8 Pm 3.32-3.36, 1 Ge 3.51
Ge 0.0000 0.0000 0.0000  8 Pm 3.16, 2 In 3.51

***

An optimized crystal structure of Pm4InGe2, computed with GGA-PBE.

Results
Space-group type   R-3m (166)
Energy of formation   -0.4998 eV/atom

Cell: 4.8168 4.8168 10.9129 Å, 77.25 77.25 60.00°
Closest atoms and distances in Å follow each position.
Atoms (fractional coordinates):
Pm 0.7022 0.7022 0.8934  4 Ge 2.97-3.28
Pm 0.8844 0.8844 0.3467  3 Ge 3.16, 3 In 3.22
Pm 0.2978 0.2978 0.1066  4 Ge 2.97-3.28
Pm 0.1156 0.1156 0.6533  3 Ge 3.16, 3 In 3.22
In 0.5000 0.5000 0.5000  2 Ge 3.12, 6 Pm 3.22
Ge 0.5986 0.5986 0.2043  7 Pm 2.97-3.28, 1 In 3.12
Ge 0.4014 0.4014 0.7957  7 Pm 2.97-3.28, 1 In 3.12

***

An optimized crystal structure of Pm4In2Ge, computed with GGA-PBE.

Results
Space-group type   I4/mmm (139)
Energy of formation   -0.3013 eV/atom

Cell: 5.5572 5.5572 8.6714 Å, 108.69 108.69 90.00°
Closest atoms and distances in Å follow each position.
Atoms (fractional coordinates):
Ge 0.0000 0.0000 0.0000  6 Pm 2.78-2.86
In 0.6147 0.6147 0.2295  5 Pm 3.10-3.30
In 0.3853 0.3853 0.7705  5 Pm 3.10-3.30
Pm 0.8151 0.8151 0.6303  1 Ge 2.86, 1 In 3.10
Pm 0.1849 0.1849 0.3697  1 Ge 2.86, 1 In 3.10
Pm 0.0000 0.5000 0.0000  2 Ge 2.78
Pm 0.5000 0.0000 0.0000  2 Ge 2.78

***

Which value of energy of formation does entry 1 give? -0.1899 eV/atom

***

Please write out number 1 again, unchanged.
An optimized crystal structure of PmInGe4, computed with GGA-PBE.

Results
Space-group type   F-43m (216)
Energy of formation   -0.1899 eV/atom

Cell: 5.6760 5.6760 5.6760 Å, 60.00 60.00 60.00°
Closest atoms and distances in Å follow each position.
Atoms (fractional coordinates):
Ge 0.6250 0.6250 0.1251  6 Ge 2.84
Ge 0.6250 0.1251 0.6250  6 Ge 2.84
Ge 0.6250 0.6250 0.6250  6 Ge 2.84
Ge 0.1251 0.6250 0.6250  6 Ge 2.84
In 0.0000 0.0000 0.0000  12 Ge 3.33, 4 Pm 3.48
Pm 0.2500 0.2500 0.2500  12 Ge 3.33, 4 In 3.48

***

Repeat the fourth record exactly.
An optimized crystal structure of Pm6In6Ge, computed with GGA-PBE.

Results
Space-group type   P6/mmm (191)
Energy of formation   -0.3144 eV/atom

Cell: 6.4837 6.4837 10.7520 Å, 90.00 90.00 120.01°
Closest atoms and distances in Å follow each position.
Atoms (fractional coordinates):
Pm 0.0000 0.0000 0.7255  1 Ge 2.95, 6 In 3.25
Pm 0.0000 0.0000 0.2745  1 Ge 2.95, 6 In 3.25
Pm 0.3334 0.6666 0.0000  6 In 3.30
Pm 0.6666 0.3334 0.0000  6 In 3.30
Pm 0.3334 0.6666 0.5000  6 In 3.25
Pm 0.6666 0.3334 0.5000  6 In 3.25
In 0.0000 0.5000 0.7467  4 In 3.24, 6 Pm 3.25-3.30
In 0.5000 0.0000 0.7467  4 In 3.24, 6 Pm 3.25-3.30
In 0.5000 0.5000 0.7467  4 In 3.24, 6 Pm 3.25-3.30
In 0.5000 0.0000 0.2533  4 In 3.24, 6 Pm 3.25-3.30
In 0.0000 0.5000 0.2533  4 In 3.24, 6 Pm 3.25-3.30
In 0.5000 0.5000 0.2533  4 In 3.24, 6 Pm 3.25-3.30
Ge 0.0000 0.0000 0.0000  2 Pm 2.95